# NdSiO3, relaxed, DFT GGA-PBE
# - Theoretical density: 6.9 g cm⁻³
# - Total moment: 0.0 μB/f.u.
# - Calculated total energy: -7.425 eV/atom
data_NdSiO3
_cell_length_a 3.7523
_cell_length_b 3.7523
_cell_length_c 3.7396
_cell_angle_alpha 90.00
_cell_angle_beta 90.00
_cell_angle_gamma 90.00
_space_group_name_H-M_alt 'P 1'
_space_group_IT_number 1
_space_group_name_Hall 'P 1'
loop_
_atom_site_label
_atom_site_type_symbol
_atom_site_fract_x
_atom_site_fract_y
_atom_site_fract_z
Nd1 Nd 0.0000 0.0000 0.0000
Si1 Si 0.5000 0.5000 0.5000
O1 O 0.0000 0.5000 0.5000
O2 O 0.5000 0.0000 0.5000
O3 O 0.5000 0.5000 0.0000

***

# TbMoW, relaxed, DFT GGA-PBE
# - Theoretical density: 11.0 g cm⁻³
# - Total moment: 0.0 μB/f.u.
# - ΔE_f: 2.599 eV per formula unit
data_TbMoW
_cell_length_a 6.4137
_cell_length_b 6.4137
_cell_length_c 6.4137
_cell_angle_alpha 90.00
_cell_angle_beta 90.00
_cell_angle_gamma 90.00
_space_group_name_H-M_alt 'P 1'
_space_group_IT_number 1
_space_group_name_Hall 'P 1'
loop_
_atom_site_label
_atom_site_type_symbol
_atom_site_fract_x
_atom_site_fract_y
_atom_site_fract_z
Tb1 Tb 0.0000 0.0000 0.0000
Tb2 Tb 0.0000 0.5000 0.5000
Tb3 Tb 0.5000 0.0000 0.5000
Tb4 Tb 0.5000 0.5000 0.0000
Mo1 Mo 0.0000 0.0000 0.5000
Mo2 Mo 0.0000 0.5000 0.0000
Mo3 Mo 0.5000 0.0000 0.0000
Mo4 Mo 0.5000 0.5000 0.5000
W1 W 0.2500 0.2500 0.7500
W2 W 0.2500 0.7500 0.2500
W3 W 0.7500 0.2500 0.2500
W4 W 0.7500 0.7500 0.7500

***

# Zr5Si, relaxed, DFT GGA-PBE
# - Theoretical density: 6.3 g cm⁻³
# - Total moment: 0.0 μB/f.u.
# - Calculated total energy: -8.168 eV/atom
data_Zr5Si
_cell_length_a 5.4652
_cell_length_b 5.4652
_cell_length_c 4.9732
_cell_angle_alpha 90.00
_cell_angle_beta 90.00
_cell_angle_gamma 120.00
_space_group_name_H-M_alt 'P 1'
_space_group_IT_number 1
_space_group_name_Hall 'P 1'
loop_
_atom_site_label
_atom_site_type_symbol
_atom_site_fract_x
_atom_site_fract_y
_atom_site_fract_z
Zr1 Zr 0.0000 0.3111 0.0000
Zr2 Zr 0.3111 0.0000 0.0000
Zr3 Zr 0.3333 0.6667 0.5000
Zr4 Zr 0.6667 0.3333 0.5000
Zr5 Zr 0.6889 0.6889 0.0000
Si1 Si 0.0000 0.0000 0.5000

***

# TbAgNO, relaxed, DFT GGA-PBE
# - Theoretical density: 9.0 g cm⁻³
# - Total moment: 0.0 μB/f.u.
# - Calculated total energy: -6.243 eV/atom
data_TbAgNO
_cell_length_a 4.8963
_cell_length_b 4.8963
_cell_length_c 4.5464
_cell_angle_alpha 90.00
_cell_angle_beta 90.00
_cell_angle_gamma 90.00
_space_group_name_H-M_alt 'P 1'
_space_group_IT_number 1
_space_group_name_Hall 'P 1'
loop_
_atom_site_label
_atom_site_type_symbol
_atom_site_fract_x
_atom_site_fract_y
_atom_site_fract_z
Tb1 Tb 0.2500 0.7500 0.0000
Tb2 Tb 0.7500 0.2500 0.0000
Ag1 Ag 0.2500 0.2500 0.4974
Ag2 Ag 0.7500 0.7500 0.5026
N1 N 0.2500 0.2500 0.9972
N2 N 0.7500 0.7500 0.0028
O1 O 0.2500 0.7500 0.5000
O2 O 0.7500 0.2500 0.5000

***

# Sm2YCo2B2As3, relaxed, DFT GGA-PBE
# - Theoretical density: 7.0 g cm⁻³
# - Total moment: 0.0 μB/f.u.
# - Calculated total energy: -6.492 eV/atom
data_Sm2YCo2B2As3
_cell_length_a 11.6632
_cell_length_b 11.6632
_cell_length_c 11.6632
_cell_angle_alpha 160.36
_cell_angle_beta 160.36
_cell_angle_gamma 27.92
_space_group_name_H-M_alt 'P 1'
_space_group_IT_number 1
_space_group_name_Hall 'P 1'
loop_
_atom_site_label
_atom_site_type_symbol
_atom_site_fract_x
_atom_site_fract_y
_atom_site_fract_z
Sm1 Sm 0.1436 0.1436 0.0000
Sm2 Sm 0.8564 0.8564 0.0000
Y1 Y 0.5000 0.5000 0.0000
Co1 Co 0.2500 0.7500 0.5000
Co2 Co 0.7500 0.2500 0.5000
B1 B 0.2816 0.2816 0.0000
B2 B 0.7184 0.7184 0.0000
As1 As 0.0000 0.0000 0.0000
As2 As 0.3750 0.3750 0.0000
As3 As 0.6250 0.6250 0.0000

***

# PmMgF2, relaxed, DFT GGA-PBE
# - Theoretical density: 5.5 g cm⁻³
# - Total moment: 0.1 μB/f.u.
# - Calculated total energy: -4.227 eV/atom
data_PmMgF2
_cell_length_a 4.1816
_cell_length_b 4.1816
_cell_length_c 7.1853
_cell_angle_alpha 90.00
_cell_angle_beta 90.00
_cell_angle_gamma 90.00
_space_group_name_H-M_alt 'P 1'
_space_group_IT_number 1
_space_group_name_Hall 'P 1'
loop_
_atom_site_label
_atom_site_type_symbol
_atom_site_fract_x
_atom_site_fract_y
_atom_site_fract_z
Pm1 Pm 0.0000 0.0000 0.0000
Pm2 Pm 0.5000 0.5000 0.5000
Mg1 Mg 0.0000 0.0000 0.5000
Mg2 Mg 0.5000 0.5000 0.0000
F1 F 0.0000 0.5000 0.2500
F2 F 0.0000 0.5000 0.7500
F3 F 0.5000 0.0000 0.2500
F4 F 0.5000 0.0000 0.7500

***

# LiLuZnCo, relaxed, DFT GGA-PBE
# - Theoretical density: 8.1 g cm⁻³
# - Total moment: 1.3 μB/f.u.
# - Calculated total energy: -3.630 eV/atom
data_LiLuZnCo
_cell_length_a 6.3051
_cell_length_b 6.3051
_cell_length_c 6.3051
_cell_angle_alpha 90.00
_cell_angle_beta 90.00
_cell_angle_gamma 90.00
_space_group_name_H-M_alt 'P 1'
_space_group_IT_number 1
_space_group_name_Hall 'P 1'
loop_
_atom_site_label
_atom_site_type_symbol
_atom_site_fract_x
_atom_site_fract_y
_atom_site_fract_z
Li1 Li 0.0000 0.0000 0.0000
Li2 Li 0.0000 0.5000 0.5000
Li3 Li 0.5000 0.0000 0.5000
Li4 Li 0.5000 0.5000 0.0000
Lu1 Lu 0.2500 0.2500 0.2500
Lu2 Lu 0.2500 0.7500 0.7500
Lu3 Lu 0.7500 0.2500 0.7500
Lu4 Lu 0.7500 0.7500 0.2500
Zn1 Zn 0.0000 0.0000 0.5000
Zn2 Zn 0.0000 0.5000 0.0000
Zn3 Zn 0.5000 0.0000 0.0000
Zn4 Zn 0.5000 0.5000 0.5000
Co1 Co 0.2500 0.2500 0.7500
Co2 Co 0.2500 0.7500 0.2500
Co3 Co 0.7500 0.2500 0.2500
Co4 Co 0.7500 0.7500 0.7500

***

# TaNbZnCu, relaxed, DFT GGA-PBE
# - Theoretical density: 10.3 g cm⁻³
# - Total moment: 0.8 μB/f.u.
# - ΔE_f: 1.637 eV per formula unit
data_TaNbZnCu
_cell_length_a 6.3710
_cell_length_b 6.3710
_cell_length_c 6.3710
_cell_angle_alpha 90.00
_cell_angle_beta 90.00
_cell_angle_gamma 90.00
_space_group_name_H-M_alt 'P 1'
_space_group_IT_number 1
_space_group_name_Hall 'P 1'
loop_
_atom_site_label
_atom_site_type_symbol
_atom_site_fract_x
_atom_site_fract_y
_atom_site_fract_z
Ta1 Ta 0.0000 0.0000 0.0000
Ta2 Ta 0.0000 0.5000 0.5000
Ta3 Ta 0.5000 0.0000 0.5000
Ta4 Ta 0.5000 0.5000 0.0000
Nb1 Nb 0.2500 0.2500 0.2500
Nb2 Nb 0.2500 0.7500 0.7500
Nb3 Nb 0.7500 0.2500 0.7500
Nb4 Nb 0.7500 0.7500 0.2500
Zn1 Zn 0.0000 0.0000 0.5000
Zn2 Zn 0.0000 0.5000 0.0000
Zn3 Zn 0.5000 0.0000 0.0000
Zn4 Zn 0.5000 0.5000 0.5000
Cu1 Cu 0.2500 0.2500 0.7500
Cu2 Cu 0.2500 0.7500 0.2500
Cu3 Cu 0.7500 0.2500 0.2500
Cu4 Cu 0.7500 0.7500 0.7500

***

# TlFeCl4, relaxed, DFT GGA-PBE
# - Theoretical density: 2.7 g cm⁻³
# - Total moment: 5.0 μB/f.u.
# - Calculated total energy: -3.878 eV/atom
data_TlFeCl4
_cell_length_a 6.1476
_cell_length_b 6.1476
_cell_length_c 13.0094
_cell_angle_alpha 90.00
_cell_angle_beta 90.00
_cell_angle_gamma 90.00
_space_group_name_H-M_alt 'P 1'
_space_group_IT_number 1
_space_group_name_Hall 'P 1'
loop_
_atom_site_label
_atom_site_type_symbol
_atom_site_fract_x
_atom_site_fract_y
_atom_site_fract_z
Tl1 Tl 0.0000 0.0000 0.0000
Tl2 Tl 0.0000 0.0000 0.5000
Fe1 Fe 0.0000 0.5000 0.2500
Fe2 Fe 0.5000 0.0000 0.7500
Cl1 Cl 0.2208 0.3050 0.3468
Cl2 Cl 0.2208 0.6950 0.1532
Cl3 Cl 0.3050 0.2208 0.8468
Cl4 Cl 0.3050 0.7792 0.6532
Cl5 Cl 0.6950 0.2208 0.6532
Cl6 Cl 0.6950 0.7792 0.8468
Cl7 Cl 0.7792 0.3050 0.1532
Cl8 Cl 0.7792 0.6950 0.3468

***

# PmGaAu, relaxed, DFT GGA-PBE
# - Theoretical density: 10.2 g cm⁻³
# - Total moment: 0.0 μB/f.u.
# - Calculated total energy: -4.461 eV/atom
data_PmGaAu
_cell_length_a 10.6694
_cell_length_b 4.5624
_cell_length_c 7.3943
_cell_angle_alpha 90.00
_cell_angle_beta 132.06
_cell_angle_gamma 90.00
_space_group_name_H-M_alt 'P 1'
_space_group_IT_number 1
_space_group_name_Hall 'P 1'
loop_
_atom_site_label
_atom_site_type_symbol
_atom_site_fract_x
_atom_site_fract_y
_atom_site_fract_z
Pm1 Pm 0.0371 0.0000 0.2986
Pm2 Pm 0.4629 0.5000 0.7014
Pm3 Pm 0.5371 0.5000 0.2986
Pm4 Pm 0.9629 0.0000 0.7014
Ga1 Ga 0.1568 0.5000 0.1030
Ga2 Ga 0.3432 0.0000 0.8970
Ga3 Ga 0.6568 0.0000 0.1030
Ga4 Ga 0.8432 0.5000 0.8970
Au1 Au 0.1771 0.5000 0.7176
Au2 Au 0.3229 0.0000 0.2824
Au3 Au 0.6771 0.0000 0.7176
Au4 Au 0.8229 0.5000 0.2824

***

> The lowest theoretical density belongs to which entry?

TlFeCl4

***

> Which of these has the lowest theoretical density?

TlFeCl4

***

What did the fourth record say?
# TbAgNO, relaxed, DFT GGA-PBE
# - Theoretical density: 9.0 g cm⁻³
# - Total moment: 0.0 μB/f.u.
# - Calculated total energy: -6.243 eV/atom
data_TbAgNO
_cell_length_a 4.8963
_cell_length_b 4.8963
_cell_length_c 4.5464
_cell_angle_alpha 90.00
_cell_angle_beta 90.00
_cell_angle_gamma 90.00
_space_group_name_H-M_alt 'P 1'
_space_group_IT_number 1
_space_group_name_Hall 'P 1'
loop_
_atom_site_label
_atom_site_type_symbol
_atom_site_fract_x
_atom_site_fract_y
_atom_site_fract_z
Tb1 Tb 0.2500 0.7500 0.0000
Tb2 Tb 0.7500 0.2500 0.0000
Ag1 Ag 0.2500 0.2500 0.4974
Ag2 Ag 0.7500 0.7500 0.5026
N1 N 0.2500 0.2500 0.9972
N2 N 0.7500 0.7500 0.0028
O1 O 0.2500 0.7500 0.5000
O2 O 0.7500 0.2500 0.5000

***

> Among the records above, which one has the lowest theoretical density?

TlFeCl4